1.
This record from Alexandria describes a geometry-optimized LaHoPb structure. The functional is PBE.

```
LaHoPb
1.0
4.565 0.178 -1.225
-0.506 4.541 -1.225
0.064 0.074 9.381
Pb Ho La
2 2 2
direct
0.870 0.870 0.740
0.130 0.130 0.260
0.500 0.000 0.000
0.000 0.500 0.000
0.323 0.323 0.647
0.677 0.677 0.353
```

Calculated values
* energy relative to the elements: -47 kJ per mole of atoms
* space-group type: I4/mmm (139)

***

2.
This record from Alexandria describes a geometry-optimized Y2AlGa4 structure. The functional is PBE.

```
Y2AlGa4
1.0
-3.067 -0.747 2.762
-1.630 -4.841 -3.119
3.596 -3.742 2.982
Al Ga Y
1 4 2
direct
0.500 0.500 0.500
0.000 0.739 0.739
0.000 0.261 0.261
0.500 0.000 0.500
0.500 0.500 0.000
0.000 0.768 0.232
0.000 0.232 0.768
```

Calculated values
* energy relative to the elements: -41 kJ per mole of atoms
* space-group type: Cmmm (65)

***

3.
This record from Alexandria describes a geometry-optimized KRe2Rh structure. The functional is PBE.

```
KRe2Rh
1.0
2.752 -0.002 0.000
-1.188 2.482 0.000
0.000 0.000 10.246
Re Rh K
2 1 1
direct
0.000 0.000 0.038
0.500 0.500 0.250
0.000 0.000 0.469
0.500 0.500 0.743
```

Calculated values
* energy relative to the elements: 68 kJ per mole of atoms
* space-group type: Cmm2 (35)

***

4.
This record from Alexandria describes a geometry-optimized Li2Nd4Sb3O2 structure. The functional is PBE.

```
Li2Nd4Sb3O2
1.0
-3.938 0.530 2.879
-1.232 -4.677 -0.824
9.008 -1.275 8.376
Nd Sb Li O
4 3 2 2
direct
0.596 0.096 0.192
0.096 0.596 0.192
0.404 0.904 0.808
0.904 0.404 0.808
0.817 0.817 0.634
0.183 0.183 0.366
0.000 0.000 0.000
0.696 0.696 0.391
0.304 0.304 0.609
0.396 0.396 0.791
0.604 0.604 0.209
```

Calculated values
* E_form (uncorrected): -1488 meV per atom
* space-group type: I4/mmm (139)

***

5.
This record from Alexandria describes a geometry-optimized Dy3YTl4 structure. The functional is PBE.

```
Dy3YTl4
1.0
-3.739 0.625 0.136
-0.545 -3.534 1.268
1.340 4.913 14.269
Y Tl Dy
1 4 3
direct
0.500 0.500 0.000
0.000 0.000 0.126
0.000 0.000 0.625
0.000 0.000 0.375
0.000 0.000 0.874
0.500 0.500 0.750
0.500 0.500 0.500
0.500 0.500 0.250
```

Calculated values
* energy relative to the elements: -34 kJ per mole of atoms
* space-group type: P4/mmm (123)

***

6.
This record from Alexandria describes a geometry-optimized CoRu2 structure. The functional is PBE.

```
CoRu2
1.0
-2.736 3.153 1.808
-3.766 1.280 -2.209
2.289 -3.480 1.830
Ru Co
2 1
direct
0.665 0.665 0.000
0.335 0.335 0.000
0.000 0.000 0.000
```

Calculated values
* energy relative to the elements: 12 kJ per mole of atoms
* space-group type: Immm (71)

***

7.
This record from Alexandria describes a geometry-optimized Sc2Sb structure. The functional is PBE.

```
Sc2Sb
1.0
-1.852 -5.452 -0.120
-2.364 3.631 3.794
-1.334 2.153 -5.172
Sc Sb
4 2
direct
0.344 0.844 0.187
0.656 0.156 0.813
0.156 0.344 0.500
0.844 0.656 0.500
0.250 0.250 0.000
0.750 0.750 0.000
```

Calculated values
* E_form (uncorrected): -550 meV per atom
* space-group type: I4/mcm (140)

***

8.
This record from Alexandria describes a geometry-optimized Nd8Co2Sn structure. The functional is PBE.

```
Nd8Co2Sn
1.0
5.449 -0.039 -0.058
-0.954 8.104 -0.234
-0.954 -3.337 7.388
Sn Nd Co
1 8 2
direct
0.500 0.000 0.000
0.939 0.673 0.927
0.500 0.749 0.251
0.061 0.327 0.073
0.939 0.927 0.673
0.698 0.393 0.393
0.061 0.073 0.327
0.500 0.251 0.749
0.302 0.607 0.607
0.000 0.702 0.298
0.000 0.298 0.702
```

Calculated values
* energy relative to the elements: -10 kJ per mole of atoms
* space-group type: C2/m (12)

***

Number 1: final energy -29.35 eV per cell. Number 2: final energy -31.75 eV per cell. Number 3: final energy -30.52 eV per cell. Number 4: final energy -61.55 eV per cell. Number 5: final energy -32.56 eV per cell. Number 6: final energy -25.28 eV per cell. Number 7: final energy -36.87 eV per cell. Number 8: final energy -57.54 eV per cell.